A geometry-optimized Ac2GeSbRh6 structure. Source: Alexandria, functional GGA-PBE.

The structure in POSCAR format:
```
Ac2GeSbRh6
1.0
-3.8179 -0.2933 -5.2609
-5.5113 -1.1185 4.4240
-5.3211 3.9033 0.2582
Ac Ge Sb Rh
2 1 1 6
direct
0.7341 0.2666 0.5399
0.2659 0.7334 0.4600
0.5000 0.5000 0.0000
0.0000 0.0000 0.0000
0.2729 0.1421 0.4905
0.8526 0.7306 0.9075
0.2544 0.7393 0.9459
0.7456 0.2607 0.0541
0.1474 0.2694 0.0925
0.7271 0.8579 0.5096
```

Properties
- Magnetization: 0.00 μB/f.u.
- Total energy: -6.618 eV/atom
- Calculated density: 9.64 g/cm³


A geometry-optimized Sb2As structure. Source: Alexandria, functional GGA-PBE.

The structure in POSCAR format:
```
Sb2As
1.0
6.9999 0.0000 0.0000
0.0000 6.9999 0.0000
0.0000 0.0000 6.9999
Sb As
8 4
direct
0.6175 0.6175 0.3825
0.3825 0.3825 0.6175
0.1175 0.8825 0.6175
0.8825 0.1175 0.3825
0.3825 0.1175 0.1175
0.6175 0.8825 0.8825
0.8825 0.3825 0.8825
0.1175 0.6175 0.1175
0.0000 0.0000 0.0000
0.5000 0.5000 0.0000
0.5000 0.0000 0.5000
0.0000 0.5000 0.5000
```

Properties
- Magnetization: 0.00 μB/f.u.
- Total energy: -4.115 eV/atom
- Excess energy over the best structure of this formula in the dataset: 0.116 eV/atom
- Calculated density: 6.17 g/cm³


A geometry-optimized Li4Sm3In2 structure. Source: Alexandria, functional GGA-PBE.

The structure in POSCAR format:
```
Li4Sm3In2
1.0
5.0150 -0.0001 0.0000
-2.5076 4.3353 0.2959
0.0000 -0.6395 9.3170
Li Sm In
4 3 2
direct
0.6669 0.3338 0.0896
0.0003 0.0006 0.6690
0.9997 0.9994 0.3310
0.3331 0.6662 0.9104
0.3335 0.6669 0.5979
0.0000 0.0000 0.0000
0.6665 0.3331 0.4021
0.3332 0.6665 0.2176
0.6668 0.3335 0.7824
```

Properties
- Magnetization: 0.00 μB/f.u.
- Total energy: -3.245 eV/atom
- Calculated density: 5.78 g/cm³
- Calculated formation energy: -20.6 kJ/mol of atoms


A geometry-optimized Pm4SiSe2I structure. Source: Alexandria, functional GGA-PBE.

The structure in POSCAR format:
```
Pm4SiSe2I
1.0
4.2502 0.0000 0.0000
0.0000 7.3103 -0.1251
0.0000 2.5984 7.1940
Pm Si Se I
4 1 2 1
direct
0.0000 0.7667 0.7112
0.0000 0.2333 0.2888
0.5000 0.7461 0.2773
0.5000 0.2539 0.7227
0.0000 0.5000 0.5000
0.0000 0.0000 0.0000
0.5000 0.0000 0.5000
0.5000 0.5000 0.0000
```

Properties
- Magnetization: 0.00 μB/f.u.
- Total energy: -5.472 eV/atom
- Calculated density: 6.59 g/cm³


Q: Which formula does entry 2 have?
A: Sb2As


Q: Which value of calculated density does entry 2 give?
A: 6.17 g/cm³